GGA-PBE YSiI2N, optimized geometry; energy above the lowest structure with this stoichiometry = 0.000 eV/atom; formation energy (no corrections) = -14.6 meV/atom
1.0
5.941 0.000 0.000
0.000 5.941 0.000
0.000 0.000 3.477
Y Si I N
1 1 2 1
Direct
0.000 0.000 0.000 Y
0.500 0.500 0.500 Si
0.000 0.500 0.500 I
0.500 0.000 0.500 I
0.500 0.500 0.000 N

GGA-PBE Ta2NiW, optimized geometry; energy of formation = 0.08 eV per atom
1.0
2.740 0.000 0.000
0.000 4.584 0.000
-0.819 0.000 5.122
Ta Ni W
2 1 1
Direct
0.000 0.000 0.000 Ta
0.262 0.500 0.730 Ta
0.516 0.000 0.500 Ni
0.741 0.500 0.229 W

GGA-PBE CaDy5Mg6, optimized geometry; energy of formation = -0.07 eV per atom
1.0
2.709 -8.120 0.000
2.709 8.120 0.000
0.000 0.000 7.576
Ca Dy Mg
1 5 6
Direct
0.000 0.000 0.000 Ca
0.000 0.000 0.500 Dy
0.331 0.669 0.000 Dy
0.334 0.666 0.500 Dy
0.666 0.334 0.500 Dy
0.669 0.331 0.000 Dy
0.168 0.832 0.253 Mg
0.168 0.832 0.747 Mg
0.500 0.500 0.254 Mg
0.500 0.500 0.746 Mg
0.832 0.168 0.253 Mg
0.832 0.168 0.747 Mg

GGA-PBE YH3Cl, optimized geometry; energy above the lowest structure with this stoichiometry = 0.000 eV/atom
1.0
4.141 0.000 0.000
0.000 4.141 0.000
0.000 0.000 4.141
Y H Cl
1 3 1
Direct
0.000 0.000 0.000 Y
0.000 0.000 0.500 H
0.000 0.500 0.000 H
0.500 0.000 0.000 H
0.500 0.500 0.500 Cl

GGA-PBE Ac2Zn4Ge3Ir, optimized geometry; energy of formation = -0.43 eV per atom
1.0
4.487 0.000 0.000
0.000 4.487 0.000
0.000 0.000 10.364
Ac Zn Ge Ir
2 4 3 1
Direct
0.000 0.500 0.236 Ac
0.500 0.000 0.764 Ac
0.000 0.000 0.500 Zn
0.000 0.500 0.879 Zn
0.500 0.000 0.121 Zn
0.500 0.500 0.500 Zn
0.000 0.000 0.000 Ge
0.000 0.500 0.635 Ge
0.500 0.000 0.365 Ge
0.500 0.500 0.000 Ir

GGA-PBE ZrInC3, optimized geometry; energy above the lowest structure with this stoichiometry = 0.454 eV/atom; energy of formation = 2.42 eV per atom
1.0
4.186 0.000 0.000
0.000 4.186 0.000
0.000 0.000 4.186
Zr In C
1 1 3
Direct
0.000 0.000 0.000 Zr
0.500 0.500 0.500 In
0.000 0.500 0.500 C
0.500 0.000 0.500 C
0.500 0.500 0.000 C

GGA-PBE Nd2YHo3Sb6, optimized geometry; formation energy (no corrections) = -1143.1 meV/atom
1.0
9.642 -2.214 0.000
9.642 2.214 0.000
-2.020 0.000 8.614
Nd Y Ho Sb
2 1 3 6
Direct
0.166 0.166 0.332 Nd
0.834 0.834 0.668 Nd
0.500 0.500 0.000 Y
0.168 0.168 0.834 Ho
0.500 0.500 0.500 Ho
0.832 0.832 0.166 Ho
0.003 0.003 0.750 Sb
0.333 0.333 0.924 Sb
0.335 0.335 0.411 Sb
0.665 0.665 0.589 Sb
0.667 0.667 0.076 Sb
0.997 0.997 0.250 Sb

GGA-PBE TbY2Fe, optimized geometry; energy above the lowest structure with this stoichiometry = 0.000 eV/atom; energy of formation = 0.00 eV per atom
1.0
7.067 0.000 0.000
0.000 9.243 0.000
0.000 0.000 6.310
Tb Y Fe
4 8 4
Direct
0.051 0.250 0.140 Tb
0.449 0.750 0.640 Tb
0.551 0.250 0.360 Tb
0.949 0.750 0.860 Tb
0.173 0.068 0.674 Y
0.173 0.432 0.674 Y
0.327 0.568 0.174 Y
0.327 0.932 0.174 Y
0.673 0.068 0.826 Y
0.673 0.432 0.826 Y
0.827 0.568 0.326 Y
0.827 0.932 0.326 Y
0.112 0.750 0.473 Fe
0.388 0.250 0.973 Fe
0.612 0.750 0.027 Fe
0.888 0.250 0.527 Fe

GGA-PBE TbTm2F11, optimized geometry; formation energy (no corrections) = -3480.8 meV/atom
1.0
-4.118 5.062 5.543
4.118 -5.062 5.543
4.118 5.062 -5.543
Tb Tm F
2 4 22
Direct
0.250 0.250 0.000 Tb
0.750 0.750 0.000 Tb
0.189 0.657 0.846 Tm
0.311 0.157 0.468 Tm
0.689 0.843 0.532 Tm
0.811 0.343 0.154 Tm
0.000 0.500 0.500 F
0.031 0.962 0.276 F
0.056 0.343 0.133 F
0.186 0.462 0.931 F
0.197 0.390 0.587 F
0.210 0.923 0.867 F
0.290 0.157 0.713 F
0.303 0.890 0.192 F
0.314 0.245 0.276 F
0.444 0.577 0.287 F
0.469 0.745 0.931 F
0.500 0.000 0.500 F
0.531 0.255 0.069 F
0.556 0.423 0.713 F
0.686 0.755 0.724 F
0.697 0.110 0.808 F
0.710 0.843 0.287 F
0.790 0.077 0.133 F
0.803 0.610 0.413 F
0.814 0.538 0.069 F
0.944 0.657 0.867 F
0.969 0.038 0.724 F

GGA-PBE Sr2CdAg7, optimized geometry; energy of formation = -0.16 eV per atom
1.0
4.401 0.000 0.000
0.000 4.401 0.000
0.000 0.000 12.547
Sr Cd Ag
2 1 7
Direct
0.000 0.500 0.241 Sr
0.500 0.000 0.759 Sr
0.000 0.000 0.500 Cd
0.000 0.000 0.000 Ag
0.000 0.500 0.645 Ag
0.000 0.500 0.861 Ag
0.500 0.000 0.139 Ag
0.500 0.000 0.355 Ag
0.500 0.500 0.000 Ag
0.500 0.500 0.500 Ag

GGA-PBE Be2ZnCl, optimized geometry; energy above the lowest structure with this stoichiometry = 0.510 eV/atom; formation energy (no corrections) = 557.5 meV/atom
1.0
2.754 0.000 0.000
0.000 3.876 0.000
0.000 0.000 5.685
Be Zn Cl
2 1 1
Direct
0.000 0.000 0.000 Be
0.500 0.000 0.500 Be
0.000 0.500 0.500 Zn
0.500 0.500 0.000 Cl

GGA-PBE Ba4P2Br, optimized geometry; energy above the lowest structure with this stoichiometry = 0.066 eV/atom; formation energy (no corrections) = -1184.0 meV/atom
1.0
0.000 6.827 6.827
6.827 0.000 6.827
6.827 6.827 0.000
Ba P Br
8 4 2
Direct
0.204 0.765 0.765 Ba
0.235 0.235 0.235 Ba
0.235 0.235 0.796 Ba
0.235 0.796 0.235 Ba
0.765 0.204 0.765 Ba
0.765 0.765 0.204 Ba
0.765 0.765 0.765 Ba
0.796 0.235 0.235 Ba
0.000 0.000 0.000 P
0.000 0.000 0.500 P
0.000 0.500 0.000 P
0.500 0.000 0.000 P
0.375 0.375 0.375 Br
0.625 0.625 0.625 Br

Result set for total DFT energy (no corrections): -4.68 -10.53 -2.95 -3.84 -4.03 -5.37 -5.68 -6.50 -5.92 -2.59 -2.09 -4.07 eV per atom, one per record in the order listed.
Result set for size of the total moment: 0.0 0.0 0.0 0.0 0.0 0.0 0.0 0.0 4.2 0.0 0.0 0.0 μB per cell, one per record in the order listed.